Record 1
This record from Alexandria describes La2Ga13 after structural relaxation. The functional is PBE.

a b c (Å): 8.931 8.931 8.931
angles (deg): 46.67 46.67 46.67
Fractional coordinates of all 15 atoms:
1 La 0.223 0.223 0.223
2 La 0.777 0.777 0.777
3 Ga 0.000 0.000 0.000
4 Ga 0.139 0.498 0.498
5 Ga 0.157 0.753 0.753
6 Ga 0.247 0.247 0.843
7 Ga 0.247 0.843 0.247
8 Ga 0.498 0.139 0.498
9 Ga 0.498 0.498 0.139
10 Ga 0.502 0.502 0.861
11 Ga 0.502 0.861 0.502
12 Ga 0.753 0.157 0.753
13 Ga 0.753 0.753 0.157
14 Ga 0.843 0.247 0.247
15 Ga 0.861 0.502 0.502

Raw total energy   -3.45 eV per atom
M_tot   0.00 μB/cell
Calculated formation energy   -168 meV/atom

Record 2
This record from Alexandria describes SiH2Pd8 after structural relaxation. The functional is PBE.

a b c (Å): 6.898 6.898 5.118
angles (deg): 108.24 108.24 38.31
Fractional coordinates of all 11 atoms:
1 Si 0.000 0.000 0.000
2 H 0.331 0.331 0.319
3 H 0.669 0.669 0.681
4 Pd 0.098 0.098 0.480
5 Pd 0.195 0.195 0.046
6 Pd 0.320 0.320 0.652
7 Pd 0.449 0.449 0.206
8 Pd 0.551 0.551 0.794
9 Pd 0.680 0.680 0.348
10 Pd 0.805 0.805 0.954
11 Pd 0.902 0.902 0.520

Raw total energy   -5.08 eV per atom
M_tot   0.00 μB/cell
Energy above the most stable polymorph in this dataset   33 meV/atom

Record 3
This record from Alexandria describes KTe2SeN after structural relaxation. The functional is PBE.

a b c (Å): 6.164 6.164 4.809
angles (deg): 90.00 90.00 90.00
Fractional coordinates of all 5 atoms:
1 K 0.000 0.000 0.000
2 Te 0.000 0.500 0.000
3 Te 0.500 0.000 0.000
4 Se 0.500 0.500 0.500
5 N 0.000 0.000 0.500

Raw total energy   -2.20 eV per atom
M_tot   2.48 μB/cell
Formation energy (no corrections)   8.17 eV/f.u.
Energy above the most stable polymorph in this dataset   1194 meV/atom

Record 4
This record from Alexandria describes Cd2CuPdO4 after structural relaxation. The functional is PBE.

a b c (Å): 5.200 5.200 5.200
angles (deg): 111.97 111.97 104.58
Fractional coordinates of all 8 atoms:
1 Cd 0.000 0.000 0.000
2 Cd 0.750 0.250 0.500
3 Cu 0.250 0.750 0.500
4 Pd 0.500 0.500 0.000
5 O 0.211 0.684 0.841
6 O 0.316 0.157 0.528
7 O 0.629 0.789 0.472
8 O 0.843 0.371 0.159

Raw total energy   -4.47 eV per atom
M_tot   1.04 μB/cell
Formation energy (no corrections)   -4.81 eV/f.u.

Record 5
This record from Alexandria describes YBeGa3 after structural relaxation. The functional is PBE.

a b c (Å): 5.540 5.540 5.540
angles (deg): 90.00 90.00 90.00
Fractional coordinates of all 5 atoms:
1 Y 0.000 0.000 0.000
2 Be 0.500 0.500 0.500
3 Ga 0.000 0.000 0.500
4 Ga 0.000 0.500 0.000
5 Ga 0.500 0.000 0.000

Raw total energy   -2.64 eV per atom
M_tot   0.00 μB/cell
Energy above the most stable polymorph in this dataset   1293 meV/atom
Calculated formation energy   1217 meV/atom

Record 6
This record from Alexandria describes LaEr3P4 after structural relaxation. The functional is PBE.

a b c (Å): 7.010 7.010 4.050
angles (deg): 90.00 90.00 109.43
Fractional coordinates of all 8 atoms:
1 La 0.000 0.000 0.000
2 Er 0.000 0.500 0.500
3 Er 0.500 0.000 0.500
4 Er 0.500 0.500 0.000
5 P 0.255 0.745 0.000
6 P 0.261 0.261 0.500
7 P 0.739 0.739 0.500
8 P 0.745 0.255 0.000

Raw total energy   -6.61 eV per atom
M_tot   0.00 μB/cell
Calculated formation energy   -1578 meV/atom

- Look up the M_tot of the sixth one.
  0.00 μB/cell

- Look up the raw total energy of the first one.
  -3.45 eV per atom